Entry 1:
Here is a geometry-optimized Th4CoCS2 structure from Alexandria via LeMat-Bulk. Energies are from PBE.

DOS at the Fermi energy   5.65 states/eV per cell
Uncorrected formation energy   -1059 meV/atom

Unit cell a=3.8515 b=7.1230 c=6.9677 alpha=71.11 beta=90.00 gamma=90.00
Positions (direct):
Th: 0.0000 0.7199 0.7570
Th: 0.0000 0.2801 0.2430
Th: 0.5000 0.7210 0.2751
Th: 0.5000 0.2790 0.7249
Co: 0.5000 0.5000 0.0000
C: 0.0000 0.5000 0.5000
S: 0.0000 0.0000 0.0000
S: 0.5000 0.0000 0.5000


Entry 2:
Here is a geometry-optimized LiSb2Rh structure from Alexandria via LeMat-Bulk. Energies are from PBE.

DOS at the Fermi energy   1.75 states/eV per cell
Uncorrected formation energy   -232 meV/atom

Unit cell a=3.4678 b=3.9695 c=5.6214 alpha=90.00 beta=90.00 gamma=90.00
Positions (direct):
Li: 0.0000 0.0000 0.4720
Rh: 0.5000 0.5000 0.7862
Sb: 0.0000 0.0000 0.9450
Sb: 0.5000 0.5000 0.2968